Entry 1:
Material: Sc2SnSe
Method: DFT, PBE-GGA
State: optimized geometry

Cell: 7.908 7.908 7.908 Å, 133.52 133.52 67.84°
Fractional coordinates of all 8 atoms:
Sc: 0.105 0.625 0.980
Sc: 0.375 0.355 0.480
Sc: 0.645 0.125 0.020
Sc: 0.875 0.895 0.520
Sn: 0.250 0.750 0.500
Sn: 0.500 0.500 0.000
Se: 0.000 0.000 0.000
Se: 0.750 0.250 0.500

Calculated values
- DFT total energy (eV per atom) = -5.636
- ΔE_f (raw) (meV per atom) = -598
- symmetry = I-42d (122)
- magnetic moment (μB per formula unit) = 0.00

***

Entry 2:
Material: KAu2Se2
Method: DFT, PBE-GGA
State: optimized geometry

Cell: 8.918 8.918 2.966 Å, 90.00 90.00 90.00°
Fractional coordinates of all 10 atoms:
K: 0.000 0.000 0.000
K: 0.500 0.500 0.000
Au: 0.107 0.393 0.000
Au: 0.393 0.893 0.000
Au: 0.607 0.107 0.000
Au: 0.893 0.607 0.000
Se: 0.217 0.717 0.500
Se: 0.283 0.217 0.500
Se: 0.717 0.783 0.500
Se: 0.783 0.283 0.500

Calculated values
- DFT total energy (eV per atom) = -3.092
- ΔE_f (raw) (meV per atom) = -168
- symmetry = P4/mbm (127)
- magnetic moment (μB per formula unit) = 0.00

***

Copy entry 2 word for word.
Material: KAu2Se2
Method: DFT, PBE-GGA
State: optimized geometry

Cell: 8.918 8.918 2.966 Å, 90.00 90.00 90.00°
Fractional coordinates of all 10 atoms:
K: 0.000 0.000 0.000
K: 0.500 0.500 0.000
Au: 0.107 0.393 0.000
Au: 0.393 0.893 0.000
Au: 0.607 0.107 0.000
Au: 0.893 0.607 0.000
Se: 0.217 0.717 0.500
Se: 0.283 0.217 0.500
Se: 0.717 0.783 0.500
Se: 0.783 0.283 0.500

Calculated values
- DFT total energy (eV per atom) = -3.092
- ΔE_f (raw) (meV per atom) = -168
- symmetry = P4/mbm (127)
- magnetic moment (μB per formula unit) = 0.00

***

Question: Among the records above, which one has the highest DFT total energy?
Answer: KAu2Se2

***

Question: DFT total energy of number 1 (Sc2SnSe)?
Answer: -5.636 eV per atom

***

Please write out number 1 again, unchanged.
Material: Sc2SnSe
Method: DFT, PBE-GGA
State: optimized geometry

Cell: 7.908 7.908 7.908 Å, 133.52 133.52 67.84°
Fractional coordinates of all 8 atoms:
Sc: 0.105 0.625 0.980
Sc: 0.375 0.355 0.480
Sc: 0.645 0.125 0.020
Sc: 0.875 0.895 0.520
Sn: 0.250 0.750 0.500
Sn: 0.500 0.500 0.000
Se: 0.000 0.000 0.000
Se: 0.750 0.250 0.500

Calculated values
- DFT total energy (eV per atom) = -5.636
- ΔE_f (raw) (meV per atom) = -598
- symmetry = I-42d (122)
- magnetic moment (μB per formula unit) = 0.00